# 1
Material: Nd6ErZn2
Method: DFT, PBE
State: relaxed

Cell and atoms, written as CIF:
```
data_Nd6ErZn2
_chemical_formula_sum 'Nd12 Er2 Zn4'
_cell_length_a 12.811
_cell_length_b 3.719
_cell_length_c 12.087
_cell_angle_alpha 90.00
_cell_angle_beta 109.72
_cell_angle_gamma 90.00
_symmetry_space_group_name_H-M 'C 1 2/m 1'
_symmetry_Int_Tables_number 12
loop_
_symmetry_equiv_pos_as_xyz
'x,y,z'
'-x,-y,-z'
'-x,y,-z'
'x,-y,z'
'x+1/2,y+1/2,z'
'-x+1/2,-y+1/2,-z'
'-x+1/2,y+1/2,-z'
'x+1/2,-y+1/2,z'
loop_
_atom_site_label
_atom_site_type_symbol
_atom_site_fract_x
_atom_site_fract_y
_atom_site_fract_z
Nd1 Nd 0.028 0.000 0.325
Nd2 Nd 0.188 0.500 0.592
Nd3 Nd 0.189 0.500 0.876
Er1 Er 0.000 0.000 0.000
Zn1 Zn 0.143 0.500 0.192
```

Values from the calculation:
Volume ... 271 Å³/f.u.
DFT formation energy ... -0.133 eV per atom

# 2
Material: Tb2Ni15Ir2
Method: DFT, PBE
State: relaxed

Cell and atoms, written as CIF:
```
data_Tb2Ni15Ir2
_chemical_formula_sum 'Tb6 Ni45 Ir6'
_cell_length_a 8.3489
_cell_length_b 8.3489
_cell_length_c 12.2986
_cell_angle_alpha 90.00
_cell_angle_beta 90.00
_cell_angle_gamma 120.00
_symmetry_space_group_name_H-M 'R -3 m'
_symmetry_Int_Tables_number 166
_symmetry_space_group_name_Hall '-R 3 2"'
loop_
_atom_site_label
_atom_site_type_symbol
_atom_site_fract_x
_atom_site_fract_y
_atom_site_fract_z
Tb1 Tb 0.0000 0.0000 0.1567
Ni1 Ni 0.0000 0.2962 0.5000
Ni2 Ni 0.0000 0.5000 0.0000
Ni3 Ni 0.0016 0.5008 0.6550
Ir1 Ir 0.0000 0.0000 0.3976
```

Values from the calculation:
Volume ... 247 Å³/f.u.
DFT formation energy ... -0.195 eV per atom

# 3
Material: Pa2CrHg
Method: DFT, PBE
State: relaxed

Cell and atoms, written as CIF:
```
data_Pa2CrHg
_chemical_formula_sum 'Pa2 Cr1 Hg1'
_cell_length_a 3.119
_cell_length_b 3.119
_cell_length_c 8.852
_cell_angle_alpha 90.00
_cell_angle_beta 90.00
_cell_angle_gamma 90.00
_symmetry_space_group_name_H-M 'P 4/m m m'
_symmetry_Int_Tables_number 123
_symmetry_space_group_name_Hall '-P 4 2'
loop_
_atom_site_label
_atom_site_type_symbol
_atom_site_fract_x
_atom_site_fract_y
_atom_site_fract_z
Pa1 Pa 0.000 0.000 0.205
Cr1 Cr 0.500 0.500 0.000
Hg1 Hg 0.500 0.500 0.500
```

Values from the calculation:
Volume ... 86 Å³/f.u.
DFT formation energy ... 0.119 eV per atom

# 4
Material: TbCeZnAu
Method: DFT, PBE
State: relaxed

Cell and atoms, written as CIF:
```
data_TbCeZnAu
_chemical_formula_sum 'Tb1 Ce1 Zn1 Au1'
_cell_length_a 3.619
_cell_length_b 3.619
_cell_length_c 7.327
_cell_angle_alpha 90.00
_cell_angle_beta 90.00
_cell_angle_gamma 90.00
_symmetry_space_group_name_H-M 'P 4 m m'
_symmetry_Int_Tables_number 99
loop_
_symmetry_equiv_pos_as_xyz
'x,y,z'
'-y,x,z'
'-x,-y,z'
'y,-x,z'
'-x,y,z'
'y,x,z'
'x,-y,z'
'-y,-x,z'
loop_
_atom_site_label
_atom_site_type_symbol
_atom_site_fract_x
_atom_site_fract_y
_atom_site_fract_z
Tb1 Tb 0.000 0.000 0.000
Ce1 Ce 0.000 0.000 0.505
Zn1 Zn 0.500 0.500 0.761
Au1 Au 0.500 0.500 0.231
```

Values from the calculation:
Volume ... 96 Å³/f.u.
Polymorph energy (0 for the lowest one) ... 0.000 eV per atom
DFT formation energy ... -0.486 eV per atom

no.,E_tot (eV per formula unit)
1,-36.9
2,-117.4
3,-28.4
4,-17.1